Material: Er2ZnPb
Method: DFT, PBE-GGA
State: optimized geometry

Values from the calculation:
Calculated formation energy: -16 meV/atom

a b c (Å): 3.497 3.497 10.945
angles (deg): 80.81 80.81 60.00
Atoms (fractional coordinates):
Pb 0.000 0.000 0.000
Zn 0.500 0.500 0.500
Er 0.098 0.098 0.705
Er 0.902 0.902 0.295